[1]
## NbRh2Br (PBE)

Data for a relaxed structure of NbRh2Br.

```
NbRh2Br
1.0
-4.280 -1.438 0.752
-3.534 2.776 -0.872
-2.776 -0.870 -3.534
Nb Rh Br
1 2 1
Direct
0.500 0.500 0.500
0.250 0.250 0.250
0.750 0.750 0.750
0.000 0.000 0.000
```

## Properties
- energy relative to the elements, uncorrected (meV per atom) = 427
- offset from the most stable computed form (meV per atom) = 0

***

[2]
## In2Sb2S (PBE)

Data for a relaxed structure of In2Sb2S.

```
In2Sb2S
1.0
7.841 0.000 0.000
0.000 7.841 0.000
0.000 0.000 4.509
Sb S In
4 2 4
Direct
0.308 0.808 0.000
0.808 0.692 0.000
0.692 0.192 0.000
0.192 0.308 0.000
0.000 0.000 0.000
0.500 0.500 0.000
0.134 0.634 0.500
0.634 0.866 0.500
0.866 0.366 0.500
0.366 0.134 0.500
```

## Properties
- energy relative to the elements, uncorrected (meV per atom) = 106
- offset from the most stable computed form (meV per atom) = 0

***

[3]
## SrHoPd2 (PBE)

Data for a relaxed structure of SrHoPd2.

```
SrHoPd2
1.0
-1.100 0.292 3.382
2.354 -2.495 0.981
5.091 5.275 1.201
Sr Ho Pd
1 1 2
Direct
0.500 0.500 0.500
0.500 0.500 0.000
0.000 0.000 0.792
0.000 0.000 0.208
```

## Properties
- offset from the most stable computed form (meV per atom) = 0

***

[4]
## Tb2NdHf (PBE)

Data for a relaxed structure of Tb2NdHf.

```
Tb2NdHf
1.0
-2.563 1.016 2.094
-2.274 -2.317 1.204
5.052 -2.271 10.148
Tb Nd Hf
2 1 1
Direct
0.077 0.077 0.770
0.257 0.257 0.229
0.500 0.500 0.500
0.667 0.667 0.000
```

## Properties
- offset from the most stable computed form (meV per atom) = 0

***

[5]
## MgMnCr (PBE)

Data for a relaxed structure of MgMnCr.

```
MgMnCr
1.0
5.256 -0.017 0.001
3.620 3.809 0.000
-4.438 -1.896 2.080
Cr Mg Mn
1 1 1
Direct
0.971 0.971 0.000
0.669 0.669 0.000
0.360 0.360 0.000
```

## Properties
- offset from the most stable computed form (meV per atom) = 0

***

[6]
## ZrRh2I (PBE)

Data for a relaxed structure of ZrRh2I.

```
ZrRh2I
1.0
5.813 0.000 0.000
0.000 5.813 0.000
2.906 2.906 6.178
I Rh Zr
2 4 2
Direct
0.000 0.000 0.000
0.750 0.250 0.500
0.618 0.125 0.250
0.132 0.625 0.250
0.375 0.382 0.750
0.875 0.868 0.750
0.500 0.500 0.000
0.250 0.750 0.500
```

## Properties
- energy relative to the elements, uncorrected (meV per atom) = 208
- offset from the most stable computed form (meV per atom) = 164

***

[7]
## CaBRuO4 (PBE)

Data for a relaxed structure of CaBRuO4.

```
CaBRuO4
1.0
4.896 -0.163 0.000
-2.116 4.418 0.000
0.000 0.000 6.690
Ca B Ru O
2 2 2 8
Direct
0.817 0.183 0.250
0.183 0.817 0.750
0.170 0.830 0.250
0.830 0.170 0.750
0.500 0.500 0.500
0.500 0.500 0.000
0.189 0.304 0.750
0.696 0.811 0.750
0.736 0.264 0.927
0.736 0.264 0.573
0.264 0.736 0.073
0.264 0.736 0.427
0.811 0.696 0.250
0.304 0.189 0.250
```

## Properties
- energy relative to the elements, uncorrected (meV per atom) = -1924

***

[8]
## CaV2Bi (PBE)

Data for a relaxed structure of CaV2Bi.

```
CaV2Bi
1.0
8.367 0.000 0.000
0.000 8.367 0.000
4.183 4.183 3.123
Ca Bi V
2 2 4
Direct
0.500 0.500 0.000
0.250 0.750 0.500
0.000 0.000 0.000
0.750 0.250 0.500
0.677 0.125 0.250
0.073 0.625 0.250
0.375 0.323 0.750
0.875 0.927 0.750
```

***

Calculated volume in order - 68, 277, 95, 118, 42, 209, 142, 219 Å³/cell
Calculated final energy in order - -6.184, -3.464, -4.932, -5.872, -6.560, -5.993, -7.323, -5.191 eV/atom